1.
Computed, not measured: a relaxed Sr2YMg crystal at the PBE-GGA level of DFT.

a b c (Å): 12.2938 12.2938 12.2938
angles (deg): 18.30 18.30 18.30
Last column: nearest neighbours and their distance in Å.
Fractional positions:
Sr (0.0109, 0.0109, 0.0109)  3 Mg 3.60, 6 Sr 3.91
Sr (0.2446, 0.2446, 0.2446)  9 Sr 3.91-4.26, 3 Y 3.92
Y (0.4894, 0.4894, 0.4894)  3 Mg 3.33
Mg (0.7551, 0.7551, 0.7551)  3 Y 3.33, 3 Sr 3.60

VASP energy, eV per cell: -10.86
Fermi-level density of states, states/eV per atom: 1.152
Energy of formation from the pure elements, eV per formula unit: 0.565


2.
Computed, not measured: a relaxed SrYMg crystal at the PBE-GGA level of DFT.

a b c (Å): 5.7820 5.7820 3.5475
angles (deg): 90.00 90.00 120.00
Last column: nearest neighbours and their distance in Å.
Fractional positions:
Sr (0.6667, 0.3333, 0.3097)  3 Mg 3.51, 2 Sr 3.55, 3 Y 3.60
Y (0.3333, 0.6667, 0.6906)  3 Mg 3.51, 2 Y 3.55, 3 Sr 3.60
Mg (0.0000, 0.0000, 0.9998)  3 Y 3.51, 3 Sr 3.51, 2 Mg 3.55

E above lowest polymorph, eV per atom: 0.1301
VASP energy, eV per cell: -9.23
Fermi-level density of states, states/eV per atom: 1.190
Energy of formation from the pure elements, eV per formula unit: 0.515


3.
Computed, not measured: a relaxed SrY5Mg6 crystal at the PBE-GGA level of DFT.

a b c (Å): 5.4561 7.7281 9.4436
angles (deg): 114.17 106.72 90.00
Last column: nearest neighbours and their distance in Å.
Fractional positions:
Mg (0.8292, 0.0866, 0.6585)  7 Y 3.26-3.38, 1 Sr 3.43
Mg (0.5002, 0.7334, 0.9998)  6 Y 3.27-3.41, 2 Sr 3.42, 1 Mg 3.61
Mg (0.1708, 0.9134, 0.3415)  7 Y 3.26-3.38, 1 Sr 3.43
Mg (0.1710, 0.4280, 0.3415)  7 Y 3.26-3.38, 1 Sr 3.43
Mg (0.4998, 0.2666, 0.0002)  6 Y 3.27-3.41, 2 Sr 3.42, 1 Mg 3.61
Mg (0.8290, 0.5720, 0.6585)  7 Y 3.26-3.38, 1 Sr 3.43
Y (0.3339, 0.8340, 0.6680)  8 Mg 3.26-3.41
Y (0.0000, 0.5000, 0.0000)  8 Mg 3.27-3.36
Y (0.6680, 0.6680, 0.3360)  8 Mg 3.29-3.31
Y (0.6661, 0.1660, 0.3320)  8 Mg 3.26-3.41
Y (0.3320, 0.3320, 0.6640)  8 Mg 3.29-3.31
Sr (0.0000, 0.0000, 0.0000)  8 Mg 3.42-3.43

VASP energy, eV per cell: -44.41
Fermi-level density of states, states/eV per atom: 1.398
Energy of formation from the pure elements, eV per formula unit: -0.845


4.
Computed, not measured: a relaxed SrYMg3 crystal at the PBE-GGA level of DFT.

a b c (Å): 5.8539 5.8539 5.8539
angles (deg): 90.00 90.00 90.00
Last column: nearest neighbours and their distance in Å.
Fractional positions:
Mg (0.0000, 0.5000, 0.0000)  2 Y 2.93
Mg (0.5000, 0.0000, 0.0000)  2 Y 2.93
Mg (0.0000, 0.0000, 0.5000)  2 Y 2.93
Y (0.0000, 0.0000, 0.0000)  6 Mg 2.93
Sr (0.5000, 0.5000, 0.5000)  12 Mg 4.14

E above lowest polymorph, eV per atom: 0.0000
VASP energy, eV per cell: -9.98
Fermi-level density of states, states/eV per atom: 1.602
Energy of formation from the pure elements, eV per formula unit: 2.946


5.
Computed, not measured: a relaxed Sr2YMg crystal at the PBE-GGA level of DFT.

a b c (Å): 5.9865 5.9865 5.9865
angles (deg): 120.18 120.18 89.68
Last column: nearest neighbours and their distance in Å.
Fractional positions:
Y (0.5000, 0.5000, 0.0000)  4 Sr 3.66, 4 Mg 3.66
Sr (0.0000, 0.0000, 0.0000)  4 Mg 3.66, 4 Sr 3.66
Sr (0.2500, 0.7500, 0.5000)  4 Y 3.66, 4 Sr 3.66
Mg (0.7500, 0.2500, 0.5000)  4 Sr 3.66, 4 Y 3.66

VASP energy, eV per cell: -10.74
Fermi-level density of states, states/eV per atom: 1.453
Energy of formation from the pure elements, eV per formula unit: 0.682


6.
Computed, not measured: a relaxed SrY2Mg9 crystal at the PBE-GGA level of DFT.

a b c (Å): 6.1487 6.1487 10.5032
angles (deg): 72.98 72.98 60.00
Last column: nearest neighbours and their distance in Å.
Fractional positions:
Sr (0.0000, 0.0000, 0.0000)  6 Mg 3.55
Mg (0.5887, 0.0804, 0.7423)  7 Mg 3.00-3.13
Mg (0.6656, 0.6656, 0.0031)  6 Mg 3.10-3.11
Mg (0.4113, 0.9196, 0.2577)  7 Mg 3.00-3.13
Mg (0.3344, 0.3344, 0.9969)  6 Mg 3.10-3.11
Mg (0.4113, 0.4113, 0.2577)  7 Mg 3.00-3.13
Mg (0.5887, 0.5887, 0.7423)  7 Mg 3.00-3.13
Mg (0.5000, 0.5000, 0.5000)  6 Mg 3.00
Mg (0.0804, 0.5887, 0.7423)  7 Mg 3.00-3.13
Mg (0.9196, 0.4113, 0.2577)  7 Mg 3.00-3.13
Y (0.1473, 0.1473, 0.5581)  12 Mg 3.44-3.60, 3 Y 3.73
Y (0.8527, 0.8527, 0.4419)  12 Mg 3.44-3.60, 3 Y 3.73

VASP energy, eV per cell: -29.80
Fermi-level density of states, states/eV per atom: 0.967
Energy of formation from the pure elements, eV per formula unit: -0.838


7.
Computed, not measured: a relaxed Sr3YMg crystal at the PBE-GGA level of DFT.

a b c (Å): 6.3115 6.3115 6.3115
angles (deg): 90.00 90.00 90.00
Last column: nearest neighbours and their distance in Å.
Fractional positions:
Sr (0.0000, 0.0000, 0.5000)  2 Mg 3.16
Sr (0.0000, 0.5000, 0.0000)  2 Mg 3.16
Sr (0.5000, 0.0000, 0.0000)  2 Mg 3.16
Y (0.5000, 0.5000, 0.5000)  12 Sr 4.46
Mg (0.0000, 0.0000, 0.0000)  6 Sr 3.16

E above lowest polymorph, eV per atom: 0.0000
VASP energy, eV per cell: -10.62
Fermi-level density of states, states/eV per atom: 1.571
Energy of formation from the pure elements, eV per formula unit: 2.482


8.
Computed, not measured: a relaxed Sr2YMg crystal at the PBE-GGA level of DFT.

a b c (Å): 8.5743 6.5222 3.8637
angles (deg): 90.01 63.21 121.59
Last column: nearest neighbours and their distance in Å.
Fractional positions:
Y (0.0000, 0.5000, 0.5000)  8 Sr 3.79, 2 Mg 3.83, 2 Y 3.86
Sr (0.0000, 0.0000, 0.0000)  4 Mg 3.79, 4 Y 3.79, 4 Sr 3.83-3.86
Sr (0.5000, 0.0000, 0.5000)  4 Y 3.79, 4 Mg 3.79, 4 Sr 3.83-3.86
Mg (0.5000, 0.5000, 0.0000)  8 Sr 3.79, 2 Y 3.83, 2 Mg 3.86

VASP energy, eV per cell: -10.77
Fermi-level density of states, states/eV per atom: 1.552
Energy of formation from the pure elements, eV per formula unit: 0.653


9.
Computed, not measured: a relaxed Sr2YMg crystal at the PBE-GGA level of DFT.

a b c (Å): 7.3179 7.3179 6.1778
angles (deg): 65.06 65.06 32.05
Last column: nearest neighbours and their distance in Å.
Fractional positions:
Sr (0.2450, 0.2450, 0.2556)  4 Mg 3.69-3.70, 6 Sr 4.04-4.14, 2 Y 4.08
Sr (0.0279, 0.0279, 0.9713)  2 Mg 3.59, 4 Y 3.78
Mg (0.7629, 0.7629, 0.7383)  2 Y 3.25, 2 Sr 3.59
Y (0.4642, 0.4642, 0.5348)  2 Mg 3.25

VASP energy, eV per cell: -10.95
Fermi-level density of states, states/eV per atom: 1.675
Energy of formation from the pure elements, eV per formula unit: 0.471


10.
Computed, not measured: a relaxed Sr2YMg crystal at the PBE-GGA level of DFT.

a b c (Å): 3.8754 3.8754 10.3767
angles (deg): 90.00 90.00 90.01
Last column: nearest neighbours and their distance in Å.
Fractional positions:
Y (0.5000, 0.5000, 0.2500)  4 Y 3.88, 8 Sr 3.93
Sr (0.0000, 0.0000, 0.5217)  4 Mg 3.62, 4 Sr 3.88, 4 Y 3.93
Sr (0.0000, 0.0000, 0.9783)  4 Mg 3.62, 4 Sr 3.88, 4 Y 3.93
Mg (0.5000, 0.5000, 0.7500)  8 Sr 3.62, 4 Mg 3.88

VASP energy, eV per cell: -10.93
Fermi-level density of states, states/eV per atom: 1.430
Energy of formation from the pure elements, eV per formula unit: 0.493


11.
Computed, not measured: a relaxed SrYMg17 crystal at the PBE-GGA level of DFT.

a b c (Å): 7.8657 7.8657 7.8657
angles (deg): 82.41 82.41 82.41
Last column: nearest neighbours and their distance in Å.
Fractional positions:
Mg (0.3467, 0.8519, 0.3467)  9 Mg 2.97-3.21
Mg (0.0036, 0.6967, 0.2999)  8 Mg 2.99-3.22
Mg (0.2999, 0.0036, 0.6967)  8 Mg 2.99-3.22
Mg (0.5026, 0.9981, 0.9981)  10 Mg 2.99-3.18
Mg (0.0036, 0.2999, 0.6967)  8 Mg 2.99-3.22
Mg (0.9032, 0.9032, 0.9032)  7 Mg 3.03-3.39
Mg (0.6448, 0.1687, 0.6448)  8 Mg 2.97-3.22
Mg (0.9981, 0.9981, 0.5026)  10 Mg 2.99-3.18
Mg (0.3467, 0.3467, 0.8519)  9 Mg 2.97-3.21
Mg (0.6448, 0.6448, 0.1687)  8 Mg 2.97-3.22
Mg (0.1687, 0.6448, 0.6448)  8 Mg 2.97-3.22
Mg (0.8519, 0.3467, 0.3467)  9 Mg 2.97-3.21
Mg (0.6967, 0.2999, 0.0036)  8 Mg 2.99-3.22
Mg (0.9981, 0.5026, 0.9981)  10 Mg 2.99-3.18
Mg (0.2999, 0.6967, 0.0036)  8 Mg 2.99-3.22
Mg (0.6967, 0.0036, 0.2999)  8 Mg 2.99-3.22
Mg (0.1013, 0.1013, 0.1013)  7 Mg 3.03-3.21
Sr (0.6640, 0.6640, 0.6640)  19 Mg 3.66-3.94
Y (0.3290, 0.3290, 0.3290)  13 Mg 3.49-3.73

VASP energy, eV per cell: -35.93
Fermi-level density of states, states/eV per atom: 0.488
Energy of formation from the pure elements, eV per formula unit: -0.678


12.
Computed, not measured: a relaxed SrYMg crystal at the PBE-GGA level of DFT.

a b c (Å): 5.5436 5.5436 7.9019
angles (deg): 90.00 90.00 90.00
Last column: nearest neighbours and their distance in Å.
Fractional positions:
Y (0.5000, 0.5000, 0.0000)  4 Mg 3.27
Y (0.0000, 0.0000, 0.0000)  4 Mg 3.27
Mg (0.5000, 0.0000, 0.7807)  4 Y 3.27, 4 Sr 3.55
Mg (0.0000, 0.5000, 0.2193)  4 Y 3.27, 4 Sr 3.55
Sr (0.0000, 0.0000, 0.5000)  4 Mg 3.55, 4 Sr 3.92, 2 Y 3.95
Sr (0.5000, 0.5000, 0.5000)  4 Mg 3.55, 4 Sr 3.92, 2 Y 3.95

E above lowest polymorph, eV per atom: 0.2921
VASP energy, eV per cell: -17.48
Fermi-level density of states, states/eV per atom: 1.676
Energy of formation from the pure elements, eV per formula unit: 1.001


13.
Computed, not measured: a relaxed SrYMg crystal at the PBE-GGA level of DFT.

a b c (Å): 5.5621 5.5621 5.5621
angles (deg): 60.00 60.00 60.00
Last column: nearest neighbours and their distance in Å.
Fractional positions:
Mg (0.7500, 0.7500, 0.7500)  4 Sr 3.41, 4 Y 3.41
Y (0.5000, 0.5000, 0.5000)  4 Mg 3.41
Sr (0.0000, 0.0000, 0.0000)  4 Mg 3.41

E above lowest polymorph, eV per atom: 0.3499
VASP energy, eV per cell: -8.57
Fermi-level density of states, states/eV per atom: 1.591
Energy of formation from the pure elements, eV per formula unit: 1.174


14.
Computed, not measured: a relaxed Sr3YMg4 crystal at the PBE-GGA level of DFT.

a b c (Å): 4.0230 4.0230 16.8270
angles (deg): 90.00 90.00 90.00
Last column: nearest neighbours and their distance in Å.
Fractional positions:
Mg (0.0000, 0.0000, 0.6323)  8 Sr 3.61, 4 Mg 4.02
Mg (0.0000, 0.0000, 0.8978)  4 Y 3.32, 1 Mg 3.44, 4 Sr 3.63
Mg (0.0000, 0.0000, 0.1022)  4 Y 3.32, 1 Mg 3.44, 4 Sr 3.63
Mg (0.0000, 0.0000, 0.3677)  8 Sr 3.61, 4 Mg 4.02
Sr (0.5000, 0.5000, 0.2359)  8 Mg 3.61-3.63, 1 Y 3.97, 4 Sr 4.02
Sr (0.5000, 0.5000, 0.7641)  8 Mg 3.61-3.63, 1 Y 3.97, 4 Sr 4.02
Sr (0.5000, 0.5000, 0.5000)  8 Mg 3.61, 4 Sr 4.02
Y (0.5000, 0.5000, 0.0000)  8 Mg 3.32

VASP energy, eV per cell: -18.33
Fermi-level density of states, states/eV per atom: 1.006
Energy of formation from the pure elements, eV per formula unit: -0.440


15.
Computed, not measured: a relaxed Sr2YMg crystal at the PBE-GGA level of DFT.

a b c (Å): 9.5347 9.5347 7.6196
angles (deg): 51.27 51.27 90.00
Last column: nearest neighbours and their distance in Å.
Fractional positions:
Sr (0.1573, 0.6250, 0.2500)  2 Mg 3.28, 2 Sr 3.60
Sr (0.5927, 0.1250, 0.2500)  2 Mg 3.28, 2 Sr 3.60
Sr (0.3750, 0.4073, 0.7500)  2 Mg 3.28, 2 Sr 3.60
Sr (0.8750, 0.8427, 0.7500)  2 Mg 3.28, 2 Sr 3.60
Mg (0.5000, 0.5000, 0.0000)  4 Sr 3.28, 2 Y 3.55
Mg (0.2500, 0.7500, 0.5000)  4 Sr 3.28, 2 Y 3.55
Y (0.0000, 0.0000, 0.0000)  2 Mg 3.55, 4 Sr 3.70
Y (0.7500, 0.2500, 0.5000)  2 Mg 3.55, 4 Sr 3.70

VASP energy, eV per cell: -19.71
Fermi-level density of states, states/eV per atom: 2.918
Energy of formation from the pure elements, eV per formula unit: 1.569


16.
Computed, not measured: a relaxed Sr2YMg9 crystal at the PBE-GGA level of DFT.

a b c (Å): 6.2171 6.2171 10.7061
angles (deg): 73.12 73.12 60.00
Last column: nearest neighbours and their distance in Å.
Fractional positions:
Y (0.0000, 0.0000, 0.0000)  18 Mg 3.59-3.94
Mg (0.3336, 0.3336, 0.9992)  6 Mg 3.01-3.02
Mg (0.4193, 0.9212, 0.2401)  7 Mg 3.01-3.18
Mg (0.9212, 0.4193, 0.2401)  7 Mg 3.01-3.18
Mg (0.5807, 0.0788, 0.7599)  7 Mg 3.01-3.18
Mg (0.6664, 0.6664, 0.0008)  6 Mg 3.01-3.02
Mg (0.5807, 0.5807, 0.7599)  7 Mg 3.01-3.18
Mg (0.5000, 0.5000, 0.5000)  6 Mg 3.18
Mg (0.4193, 0.4193, 0.2401)  7 Mg 3.01-3.18
Mg (0.0788, 0.5807, 0.7599)  7 Mg 3.01-3.18
Sr (0.1405, 0.1405, 0.5784)  12 Mg 3.61-3.85, 3 Sr 3.92
Sr (0.8595, 0.8595, 0.4216)  12 Mg 3.61-3.85, 3 Sr 3.92

VASP energy, eV per cell: -24.61
Fermi-level density of states, states/eV per atom: 0.867
Energy of formation from the pure elements, eV per formula unit: -0.432


17.
Computed, not measured: a relaxed SrY2Mg3 crystal at the PBE-GGA level of DFT.

a b c (Å): 3.8984 3.8984 11.9386
angles (deg): 90.00 90.00 90.00
Last column: nearest neighbours and their distance in Å.
Fractional positions:
Y (0.5000, 0.5000, 0.8476)  8 Mg 3.30-3.31, 1 Y 3.64
Y (0.5000, 0.5000, 0.1524)  8 Mg 3.30-3.31, 1 Y 3.64
Sr (0.5000, 0.5000, 0.5000)  8 Mg 3.60, 4 Sr 3.90
Mg (0.0000, 0.0000, 0.0000)  8 Y 3.30, 2 Mg 3.65
Mg (0.0000, 0.0000, 0.6940)  4 Y 3.31, 4 Sr 3.60, 1 Mg 3.65
Mg (0.0000, 0.0000, 0.3060)  4 Y 3.31, 4 Sr 3.60, 1 Mg 3.65

VASP energy, eV per cell: -19.85
Fermi-level density of states, states/eV per atom: 1.134
Energy of formation from the pure elements, eV per formula unit: -0.461


18.
Computed, not measured: a relaxed SrY4Mg crystal at the PBE-GGA level of DFT.

a b c (Å): 6.6978 6.6978 6.6978
angles (deg): 60.00 60.00 60.00
Last column: nearest neighbours and their distance in Å.
Fractional positions:
Sr (0.0000, 0.0000, 0.0000)  12 Y 3.93, 4 Mg 4.10
Y (0.3762, 0.3762, 0.3762)  6 Y 3.32-3.38
Y (0.8715, 0.3762, 0.3762)  6 Y 3.32-3.38
Y (0.3762, 0.3762, 0.8715)  6 Y 3.32-3.38
Y (0.3762, 0.8715, 0.3762)  6 Y 3.32-3.38
Mg (0.7500, 0.7500, 0.7500)  12 Y 3.92, 4 Sr 4.10

VASP energy, eV per cell: -27.53
Fermi-level density of states, states/eV per atom: 1.389
Energy of formation from the pure elements, eV per formula unit: 1.602


19.
Computed, not measured: a relaxed SrY2Mg2 crystal at the PBE-GGA level of DFT.

a b c (Å): 9.4727 9.4727 3.6168
angles (deg): 90.00 90.00 90.00
Last column: nearest neighbours and their distance in Å.
Fractional positions:
Sr (0.5000, 0.5000, 0.0000)  2 Sr 3.62, 4 Mg 3.76, 8 Y 3.96
Sr (0.0000, 0.0000, 0.0000)  2 Sr 3.62, 4 Mg 3.76, 8 Y 3.96
Y (0.8305, 0.3305, 0.5000)  6 Mg 3.32-3.33, 2 Y 3.62
Y (0.1695, 0.6695, 0.5000)  6 Mg 3.32-3.33, 2 Y 3.62
Y (0.3305, 0.1695, 0.5000)  6 Mg 3.32-3.33, 2 Y 3.62
Y (0.6695, 0.8305, 0.5000)  6 Mg 3.32-3.33, 2 Y 3.62
Mg (0.6223, 0.1223, 0.0000)  3 Mg 3.28-3.62, 6 Y 3.32-3.33
Mg (0.1223, 0.3777, 0.0000)  3 Mg 3.28-3.62, 6 Y 3.32-3.33
Mg (0.8777, 0.6223, 0.0000)  3 Mg 3.28-3.62, 6 Y 3.32-3.33
Mg (0.3777, 0.8777, 0.0000)  3 Mg 3.28-3.62, 6 Y 3.32-3.33

E above lowest polymorph, eV per atom: 0.0379
VASP energy, eV per cell: -34.89
Fermi-level density of states, states/eV per atom: 1.381
Energy of formation from the pure elements, eV per formula unit: 0.355


20.
Computed, not measured: a relaxed SrY3Mg4 crystal at the PBE-GGA level of DFT.

a b c (Å): 5.5202 7.7181 11.0432
angles (deg): 90.00 90.00 90.00
Last column: nearest neighbours and their distance in Å.
Fractional positions:
Y (0.4995, 0.5000, 0.7500)  8 Mg 3.43
Y (0.5006, 0.0000, 0.2500)  8 Mg 3.30
Y (0.0000, 0.0000, 0.5000)  8 Mg 3.30
Y (0.5005, 0.5000, 0.2500)  8 Mg 3.43
Y (0.0000, 0.0000, 0.0000)  8 Mg 3.30
Y (0.4994, 0.0000, 0.7500)  8 Mg 3.30
Mg (0.9995, 0.2352, 0.7500)  6 Y 3.30-3.43, 2 Sr 3.43, 1 Mg 3.63
Mg (0.5000, 0.2354, 0.5000)  6 Y 3.30-3.43, 2 Sr 3.43, 1 Mg 3.63
Mg (0.0005, 0.7648, 0.2500)  6 Y 3.30-3.43, 2 Sr 3.43, 1 Mg 3.63
Mg (0.5000, 0.7646, 0.5000)  6 Y 3.30-3.43, 2 Sr 3.43, 1 Mg 3.63
Mg (0.9995, 0.7648, 0.7500)  6 Y 3.30-3.43, 2 Sr 3.43, 1 Mg 3.63
Mg (0.0005, 0.2352, 0.2500)  6 Y 3.30-3.43, 2 Sr 3.43, 1 Mg 3.63
Mg (0.5000, 0.7646, 0.0000)  6 Y 3.30-3.43, 2 Sr 3.43, 1 Mg 3.63
Mg (0.5000, 0.2354, 0.0000)  6 Y 3.30-3.43, 2 Sr 3.43, 1 Mg 3.63
Sr (0.0000, 0.5000, 0.0000)  8 Mg 3.43
Sr (0.0000, 0.5000, 0.5000)  8 Mg 3.43

VASP energy, eV per cell: -55.77
Fermi-level density of states, states/eV per atom: 1.394
Energy of formation from the pure elements, eV per formula unit: -0.433